1.
VASP calculation (PBE) on a geometry-optimized NaSrNbPt structure.

- energy relative to the lowest polymorph listed for this composition (meV per atom) = 0
- E (eV for the cell shown) = -70.40

Cell lengths 7.0880, 7.0880, 7.0880 Å; angles 90.00, 90.00, 90.00 degrees
Closest atoms and distances in Å follow each position.
Sites, in units of the cell vectors:
Na1 0.0000 0.0000 0.0000  4 Sr 3.07, 4 Nb 3.07
Na2 0.0000 0.5000 0.5000  4 Sr 3.07, 4 Nb 3.07
Na3 0.5000 0.0000 0.5000  4 Sr 3.07, 4 Nb 3.07
Na4 0.5000 0.5000 0.0000  4 Sr 3.07, 4 Nb 3.07
Sr1 0.2500 0.2500 0.7500  4 Na 3.07, 4 Pt 3.07
Sr2 0.2500 0.7500 0.2500  4 Na 3.07, 4 Pt 3.07
Sr3 0.7500 0.2500 0.2500  4 Na 3.07, 4 Pt 3.07
Sr4 0.7500 0.7500 0.7500  4 Na 3.07, 4 Pt 3.07
Nb1 0.2500 0.2500 0.2500  4 Na 3.07, 4 Pt 3.07
Nb2 0.2500 0.7500 0.7500  4 Na 3.07, 4 Pt 3.07
Nb3 0.7500 0.2500 0.7500  4 Na 3.07, 4 Pt 3.07
Nb4 0.7500 0.7500 0.2500  4 Na 3.07, 4 Pt 3.07
Pt1 0.0000 0.0000 0.5000  4 Nb 3.07, 4 Sr 3.07
Pt2 0.0000 0.5000 0.0000  4 Nb 3.07, 4 Sr 3.07
Pt3 0.5000 0.0000 0.0000  4 Nb 3.07, 4 Sr 3.07
Pt4 0.5000 0.5000 0.5000  4 Nb 3.07, 4 Sr 3.07

***

2.
VASP calculation (PBE) on a geometry-optimized NaPuNb structure.

- energy relative to the lowest polymorph listed for this composition (meV per atom) = 820
- E (eV for the cell shown) = -75.44

Cell lengths 6.8117, 6.8117, 6.8117 Å; angles 90.00, 90.00, 90.00 degrees
Closest atoms and distances in Å follow each position.
Sites, in units of the cell vectors:
Na1 0.0000 0.0000 0.0000  4 Pu 2.95
Na2 0.0000 0.5000 0.5000  4 Pu 2.95
Na3 0.5000 0.0000 0.5000  4 Pu 2.95
Na4 0.5000 0.5000 0.0000  4 Pu 2.95
Pu1 0.2500 0.2500 0.2500  4 Nb 2.95, 4 Na 2.95
Pu2 0.2500 0.7500 0.7500  4 Nb 2.95, 4 Na 2.95
Pu3 0.7500 0.2500 0.7500  4 Nb 2.95, 4 Na 2.95
Pu4 0.7500 0.7500 0.2500  4 Nb 2.95, 4 Na 2.95
Nb1 0.0000 0.0000 0.5000  4 Pu 2.95
Nb2 0.0000 0.5000 0.0000  4 Pu 2.95
Nb3 0.5000 0.0000 0.0000  4 Pu 2.95
Nb4 0.5000 0.5000 0.5000  4 Pu 2.95

***

3.
VASP calculation (PBE) on a geometry-optimized NaPuNb structure.

- energy relative to the lowest polymorph listed for this composition (meV per atom) = 0
- E (eV for the cell shown) = -85.28

Cell lengths 6.7013, 6.7013, 6.7013 Å; angles 90.00, 90.00, 90.00 degrees
Closest atoms and distances in Å follow each position.
Sites, in units of the cell vectors:
Na1 0.0000 0.0000 0.0000  4 Nb 2.90
Na2 0.0000 0.5000 0.5000  4 Nb 2.90
Na3 0.5000 0.0000 0.5000  4 Nb 2.90
Na4 0.5000 0.5000 0.0000  4 Nb 2.90
Pu1 0.0000 0.0000 0.5000  4 Nb 2.90
Pu2 0.0000 0.5000 0.0000  4 Nb 2.90
Pu3 0.5000 0.0000 0.0000  4 Nb 2.90
Pu4 0.5000 0.5000 0.5000  4 Nb 2.90
Nb1 0.2500 0.2500 0.2500  4 Na 2.90, 4 Pu 2.90
Nb2 0.2500 0.7500 0.7500  4 Na 2.90, 4 Pu 2.90
Nb3 0.7500 0.2500 0.7500  4 Na 2.90, 4 Pu 2.90
Nb4 0.7500 0.7500 0.2500  4 Na 2.90, 4 Pu 2.90

***

4.
VASP calculation (PBE) on a geometry-optimized Na3NbS4 structure.

- E (eV for the cell shown) = -78.23

Cell lengths 7.1354, 7.1354, 7.1354 Å; angles 90.00, 90.00, 90.00 degrees
Closest atoms and distances in Å follow each position.
Sites, in units of the cell vectors:
Na1 0.0000 0.0000 0.5000  4 S 2.92
Na2 0.0000 0.5000 0.0000  4 S 2.92
Na3 0.0000 0.5000 0.5000  4 S 2.92
Na4 0.5000 0.0000 0.0000  4 S 2.92
Na5 0.5000 0.0000 0.5000  4 S 2.92
Na6 0.5000 0.5000 0.0000  4 S 2.92
Nb1 0.0000 0.0000 0.0000  4 S 2.30
Nb2 0.5000 0.5000 0.5000  4 S 2.30
S1 0.1862 0.1862 0.1862  1 Nb 2.30
S2 0.1862 0.8138 0.8138  1 Nb 2.30
S3 0.3138 0.3138 0.6862  1 Nb 2.30
S4 0.3138 0.6862 0.3138  1 Nb 2.30
S5 0.6862 0.3138 0.3138  1 Nb 2.30
S6 0.6862 0.6862 0.6862  1 Nb 2.30
S7 0.8138 0.1862 0.8138  1 Nb 2.30
S8 0.8138 0.8138 0.1862  1 Nb 2.30

***

5.
VASP calculation (PBE) on a geometry-optimized NaNb3S5 structure.

- E (eV for the cell shown) = -58.91

Cell lengths 5.6836, 5.6836, 7.2065 Å; angles 90.00, 90.00, 120.00 degrees
Closest atoms and distances in Å follow each position.
Sites, in units of the cell vectors:
Na1 0.0000 0.0000 0.0000  14 S 3.60-3.70
Nb1 0.0000 0.5000 0.5000  4 S 2.51
Nb2 0.5000 0.0000 0.5000  4 S 2.51
Nb3 0.5000 0.5000 0.5000  4 S 2.51
S1 0.0000 0.0000 0.5000  6 Nb 2.84
S2 0.3333 0.6667 0.2363  3 Nb 2.51
S3 0.3333 0.6667 0.7637  3 Nb 2.51
S4 0.6667 0.3333 0.2363  3 Nb 2.51
S5 0.6667 0.3333 0.7637  3 Nb 2.51

***

6.
VASP calculation (PBE) on a geometry-optimized Na4NbS4 structure.

- E (eV for the cell shown) = -82.18

Cell lengths 7.8186, 7.8186, 6.9583 Å; angles 90.00, 90.00, 90.00 degrees
Closest atoms and distances in Å follow each position.
Sites, in units of the cell vectors:
Na1 0.0907 0.3020 0.4683  5 S 2.81-3.09
Na2 0.1980 0.4093 0.9683  5 S 2.81-3.09
Na3 0.3020 0.9093 0.5317  5 S 2.81-3.09
Na4 0.4093 0.8020 0.0317  5 S 2.81-3.09
Na5 0.5907 0.1980 0.0317  5 S 2.81-3.09
Na6 0.6980 0.0907 0.5317  5 S 2.81-3.09
Na7 0.8020 0.5907 0.9683  5 S 2.81-3.09
Na8 0.9093 0.6980 0.4683  5 S 2.81-3.09
Nb1 0.0000 0.0000 0.0000  4 S 2.36
Nb2 0.5000 0.5000 0.5000  4 S 2.36
S1 0.0905 0.7639 0.8149  1 Nb 2.36
S2 0.2361 0.0905 0.1851  1 Nb 2.36
S3 0.2639 0.5905 0.3149  1 Nb 2.36
S4 0.4095 0.2639 0.6851  1 Nb 2.36
S5 0.5905 0.7361 0.6851  1 Nb 2.36
S6 0.7361 0.4095 0.3149  1 Nb 2.36
S7 0.7639 0.9095 0.1851  1 Nb 2.36
S8 0.9095 0.2361 0.8149  1 Nb 2.36

***

7.
VASP calculation (PBE) on a geometry-optimized Na3NbSe2S2 structure.

- E (eV for the cell shown) = -74.87

Cell lengths 9.7639, 9.9824, 6.9922 Å; angles 90.00, 90.00, 90.00 degrees
Closest atoms and distances in Å follow each position.
Sites, in units of the cell vectors:
Na1 0.0000 0.0000 0.0000  2 S 2.80, 2 Se 2.93
Na2 0.2500 0.2500 0.5199  2 S 2.82, 2 Se 2.94
Na3 0.2500 0.7500 0.5199  2 S 2.82, 2 Se 2.94
Na4 0.5000 0.5000 0.0000  2 S 2.80, 2 Se 2.93
Na5 0.7500 0.2500 0.5199  2 S 2.82, 2 Se 2.94
Na6 0.7500 0.7500 0.5199  2 S 2.82, 2 Se 2.94
Nb1 0.0000 0.0000 0.5077  2 S 2.30, 2 Se 2.44
Nb2 0.5000 0.5000 0.5077  2 S 2.30, 2 Se 2.44
Se1 0.2044 0.0000 0.3077  1 Nb 2.44
Se2 0.2956 0.5000 0.3077  1 Nb 2.44
Se3 0.7044 0.5000 0.3077  1 Nb 2.44
Se4 0.7956 0.0000 0.3077  1 Nb 2.44
S1 0.0000 0.1864 0.7003  1 Nb 2.30
S2 0.0000 0.8136 0.7003  1 Nb 2.30
S3 0.5000 0.3136 0.7003  1 Nb 2.30
S4 0.5000 0.6864 0.7003  1 Nb 2.30

***

8.
VASP calculation (PBE) on a geometry-optimized Na2Nb2Se3S structure.

- E (eV for the cell shown) = -45.85

Cell lengths 3.5350, 3.5350, 14.7922 Å; angles 90.00, 90.00, 120.00 degrees
Closest atoms and distances in Å follow each position.
Sites, in units of the cell vectors:
Na1 0.0000 0.0000 0.0000  3 S 2.83, 3 Se 2.95
Na2 0.0000 0.0000 0.4903  6 Se 2.91-2.93
Nb1 0.0000 0.0000 0.2350  3 S 2.55, 3 Se 2.64
Nb2 0.0000 0.0000 0.7431  6 Se 2.63
Se1 0.3333 0.6667 0.3481  3 Nb 2.64, 3 Na 2.93
Se2 0.6667 0.3333 0.6305  3 Nb 2.63, 3 Na 2.91
Se3 0.6667 0.3333 0.8558  3 Nb 2.63
S1 0.3333 0.6667 0.1322  3 Nb 2.55, 3 Na 2.83

***

9.
VASP calculation (PBE) on a geometry-optimized NaNb2SnS4 structure.

- E (eV for the cell shown) = -49.38

Cell lengths 3.3799, 3.3799, 17.1012 Å; angles 90.00, 90.00, 120.00 degrees
Closest atoms and distances in Å follow each position.
Sites, in units of the cell vectors:
Na1 0.0000 0.0000 0.0000  2 S 2.62
Nb1 0.3333 0.6667 0.7561  6 S 2.49
Nb2 0.6667 0.3333 0.2439  6 S 2.49
Sn1 0.0000 0.0000 0.5000  2 S 2.83
S1 0.0000 0.0000 0.1530  3 Nb 2.49, 1 Na 2.62
S2 0.0000 0.0000 0.3346  3 Nb 2.49
S3 0.0000 0.0000 0.6654  3 Nb 2.49
S4 0.0000 0.0000 0.8470  3 Nb 2.49, 1 Na 2.62

***

10.
VASP calculation (PBE) on a geometry-optimized Na2TmNbS4 structure.

- E (eV for the cell shown) = -85.39

Cell lengths 9.4172, 9.5892, 6.6598 Å; angles 90.00, 134.96, 90.00 degrees
Closest atoms and distances in Å follow each position.
Sites, in units of the cell vectors:
Na1 0.0000 0.0000 0.0000  4 S 2.81
Na2 0.0000 0.2509 0.5000  4 S 2.79-2.80
Na3 0.5000 0.5000 0.0000  4 S 2.81
Na4 0.5000 0.7509 0.5000  4 S 2.79-2.80
Tm1 0.0000 0.7503 0.5000  4 S 2.58
Tm2 0.5000 0.2503 0.5000  4 S 2.58
Nb1 0.0000 0.5005 0.0000  4 S 2.42
Nb2 0.5000 0.0005 0.0000  4 S 2.42
S1 0.2141 0.6177 0.4544  1 Nb 2.42, 1 Tm 2.58
S2 0.2404 0.3828 0.0266  1 Nb 2.42, 1 Tm 2.58
S3 0.2596 0.8828 0.9734  1 Nb 2.42, 1 Tm 2.58
S4 0.2859 0.1177 0.5456  1 Nb 2.42, 1 Tm 2.58
S5 0.7141 0.1177 0.4544  1 Nb 2.42, 1 Tm 2.58
S6 0.7404 0.8828 0.0266  1 Nb 2.42, 1 Tm 2.58
S7 0.7596 0.3828 0.9734  1 Nb 2.42, 1 Tm 2.58
S8 0.7859 0.6177 0.5456  1 Nb 2.42, 1 Tm 2.58

***

11.
VASP calculation (PBE) on a geometry-optimized NaNb3Sb5 structure.

- E (eV for the cell shown) = -53.78

Cell lengths 5.7609, 5.7609, 8.8143 Å; angles 90.00, 90.00, 120.00 degrees
Closest atoms and distances in Å follow each position.
Sites, in units of the cell vectors:
Na1 0.0000 0.0000 0.0000  12 Sb 3.88
Nb1 0.0000 0.5000 0.5000  4 Nb 2.88, 6 Sb 2.88-2.93
Nb2 0.5000 0.0000 0.5000  4 Nb 2.88, 6 Sb 2.88-2.93
Nb3 0.5000 0.5000 0.5000  4 Nb 2.88, 6 Sb 2.88-2.93
Sb1 0.0000 0.0000 0.5000  6 Nb 2.88
Sb2 0.3333 0.6667 0.2264  3 Nb 2.93
Sb3 0.3333 0.6667 0.7736  3 Nb 2.93
Sb4 0.6667 0.3333 0.2264  3 Nb 2.93
Sb5 0.6667 0.3333 0.7736  3 Nb 2.93

***

12.
VASP calculation (PBE) on a geometry-optimized NaScNb structure.

- energy relative to the lowest polymorph listed for this composition (meV per atom) = 0
- E (eV for the cell shown) = -53.56

Cell lengths 7.0102, 7.0102, 7.0102 Å; angles 90.00, 90.00, 90.00 degrees
Closest atoms and distances in Å follow each position.
Sites, in units of the cell vectors:
Na1 0.0000 0.0000 0.0000  4 Nb 3.04
Na2 0.0000 0.5000 0.5000  4 Nb 3.04
Na3 0.5000 0.0000 0.5000  4 Nb 3.04
Na4 0.5000 0.5000 0.0000  4 Nb 3.04
Sc1 0.0000 0.0000 0.5000  4 Nb 3.04
Sc2 0.0000 0.5000 0.0000  4 Nb 3.04
Sc3 0.5000 0.0000 0.0000  4 Nb 3.04
Sc4 0.5000 0.5000 0.5000  4 Nb 3.04
Nb1 0.2500 0.2500 0.2500  4 Na 3.04, 4 Sc 3.04
Nb2 0.2500 0.7500 0.7500  4 Na 3.04, 4 Sc 3.04
Nb3 0.7500 0.2500 0.7500  4 Na 3.04, 4 Sc 3.04
Nb4 0.7500 0.7500 0.2500  4 Na 3.04, 4 Sc 3.04